No. 1
Below is a relaxed YTiGa2B crystal, with properties calculated at the GGA-PBE level.

Cell lengths 4.903, 4.903, 5.077 Å; angles 90.00, 90.00, 90.00 degrees
Space group P4/mmm (No. 123)
Unique sites:
1 Y 0.000 0.000 0.000
2 Ti 0.000 0.000 0.500
3 Ga 0.000 0.500 0.500
4 B 0.500 0.500 0.000

Computed properties:
mass density = 3.905 Mg/m³
N(E_F) = 5.3 states/eV per cell
formation enthalpy at 0 K = 1.218 eV per atom


No. 2
Below is a relaxed TlGaB2 crystal, with properties calculated at the GGA-PBE level.

Cell lengths 4.302, 4.302, 13.555 Å; angles 90.00, 90.00, 90.00 degrees
Space group I-42d (No. 122)
Unique sites:
1 Tl 0.000 0.000 0.000
2 Ga 0.000 0.000 0.500
3 B 0.135 0.250 0.625

Computed properties:
mass density = 7.829 Mg/m³
N(E_F) = 2.3 states/eV per cell
formation enthalpy at 0 K = 1.052 eV per atom


No. 3
Below is a relaxed TlGaB3 crystal, with properties calculated at the GGA-PBE level.

Cell lengths 4.303, 4.303, 4.303 Å; angles 90.00, 90.00, 90.00 degrees
Space group Pm-3m (No. 221)
Unique sites:
1 Tl 0.000 0.000 0.000
2 Ga 0.500 0.500 0.500
3 B 0.000 0.500 0.500

Computed properties:
mass density = 6.389 Mg/m³
N(E_F) = 3.3 states/eV per cell
formation enthalpy at 0 K = 1.783 eV per atom


No. 4
Below is a relaxed TlGa2B crystal, with properties calculated at the GGA-PBE level.

Cell lengths 6.761, 6.761, 6.761 Å; angles 90.00, 90.00, 90.00 degrees
Space group Fm-3m (No. 225)
Unique sites:
1 Tl 0.000 0.000 0.000
2 Ga 0.250 0.250 0.250
3 B 0.000 0.000 0.500

Computed properties:
mass density = 7.622 Mg/m³
N(E_F) = 5.8 states/eV per cell
formation enthalpy at 0 K = 0.978 eV per atom


No. 5
Below is a relaxed TlGa3B crystal, with properties calculated at the GGA-PBE level.

Cell lengths 5.377, 5.377, 5.377 Å; angles 90.00, 90.00, 90.00 degrees
Space group Pm-3m (No. 221)
Unique sites:
1 Tl 0.000 0.000 0.000
2 Ga 0.000 0.000 0.500
3 B 0.500 0.500 0.500

Computed properties:
mass density = 4.533 Mg/m³
N(E_F) = 4.0 states/eV per cell
formation enthalpy at 0 K = 1.538 eV per atom


No. 6
Below is a relaxed TlGa2B crystal, with properties calculated at the GGA-PBE level.

Cell lengths 6.160, 6.160, 9.172 Å; angles 90.00, 90.00, 90.00 degrees
Space group I-42d (No. 122)
Unique sites:
1 Tl 0.000 0.000 0.000
2 Ga 0.114 0.250 0.625
3 B 0.000 0.000 0.500

Computed properties:
mass density = 6.768 Mg/m³
N(E_F) = 2.8 states/eV per cell
formation enthalpy at 0 K = 0.373 eV per atom